Compound: Nd3Sm6YHo2
Source: the Alexandria database
Functional: PBE-GGA
Structure: optimized geometry

Cell lengths 6.278, 6.278, 11.994 Å; angles 95.00, 95.00, 120.01 degrees
Atoms (fractional coordinates):
1 Nd 0.000 0.000 0.000
2 Nd 0.333 0.667 0.000
3 Nd 0.667 0.333 0.000
4 Sm 0.083 0.417 0.254
5 Sm 0.248 0.248 0.746
6 Sm 0.417 0.083 0.254
7 Sm 0.583 0.917 0.746
8 Sm 0.752 0.752 0.254
9 Sm 0.917 0.583 0.746
10 Y 0.500 0.500 0.500
11 Ho 0.167 0.833 0.500
12 Ho 0.833 0.167 0.500

ΔE_f: 18.5 kJ/mol of formula units